Record 1
First-principles (PBE) data for an optimized crystal structure of LaYSc2Tc, as listed in the Alexandria database. Values from VASP.

Cell and atoms, written as Quantum ESPRESSO input:
```
&SYSTEM
  ibrav = 0, nat = 5, ntyp = 4
/
ATOMIC_SPECIES
Y 88.91 Y.upf
Sc 44.96 Sc.upf
Tc 98.00 Tc.upf
La 138.91 La.upf
CELL_PARAMETERS angstrom
5.1968 0.0000 0.0000
0.0000 5.1968 0.0000
0.0000 0.0000 5.3138
ATOMIC_POSITIONS crystal
Y 0.5000 0.5000 0.5000
Sc 0.0000 0.5000 0.0000
Sc 0.5000 0.0000 0.0000
Tc 0.0000 0.0000 0.0000
La 0.0000 0.0000 0.5000
```

Energy relative to the lowest polymorph listed for this composition, meV/atom: 54.4
Total DFT energy (no corrections), hartree per atom: -0.2493

---

Record 2
First-principles (PBE) data for an optimized crystal structure of BTeMoSe2, as listed in the Alexandria database. Values from VASP.

Cell and atoms, written as Quantum ESPRESSO input:
```
&SYSTEM
  ibrav = 0, nat = 5, ntyp = 4
/
ATOMIC_SPECIES
Mo 95.94 Mo.upf
Te 127.60 Te.upf
B 10.81 B.upf
Se 78.96 Se.upf
CELL_PARAMETERS angstrom
4.7817 0.0000 0.0000
0.0000 5.7388 0.0000
0.0000 0.0000 4.7817
ATOMIC_POSITIONS crystal
Mo 0.0000 0.0000 0.0000
Te 0.0000 0.5000 0.0000
B 0.5000 0.5000 0.5000
Se 0.0000 0.0000 0.5000
Se 0.5000 0.0000 0.0000
```

Total DFT energy (no corrections), hartree per atom: -0.1641
Formation energy (no corrections), kcal/mol of atoms: 24.41

---

Record 3
First-principles (PBE) data for an optimized crystal structure of HAu8, as listed in the Alexandria database. Values from VASP.

Cell and atoms, written as Quantum ESPRESSO input:
```
&SYSTEM
  ibrav = 0, nat = 9, ntyp = 2
/
ATOMIC_SPECIES
H 1.01 H.upf
Au 196.97 Au.upf
CELL_PARAMETERS angstrom
-5.8714 -0.7607 -0.1326
3.0782 -1.5474 4.8166
-0.6203 4.4690 1.8322
ATOMIC_POSITIONS crystal
H 0.3333 0.1667 0.2500
Au 0.5032 0.5064 0.9975
Au 0.5032 0.9968 0.9975
Au 0.9936 0.9968 0.9975
Au 0.0000 0.5000 0.9987
Au 0.1635 0.3365 0.5025
Au 0.1635 0.8269 0.5025
Au 0.6667 0.8333 0.5013
Au 0.6731 0.3365 0.5025
```

Total DFT energy (no corrections), hartree per atom: -0.1165

---

Q: What is the formula in the second record?
A: BTeMoSe2